# 1
## NdCoSn (PBE)

Data for a geometry-optimized NdCoSn structure.

Cell: 6.5573 6.5573 6.5573 Å, 90.00 90.00 90.00°
Last column: nearest neighbours and their distance in Å.
Space group F-43m (No. 216)
One atom of each set of equivalent atoms:
Nd1 0.0000 0.0000 0.0000 (multiplicity 4)  4 Co 2.84
Co1 0.2500 0.2500 0.2500 (multiplicity 4)  4 Sn 2.84, 4 Nd 2.84
Sn1 0.0000 0.0000 0.5000 (multiplicity 4)  4 Co 2.84

Calculated values
For the formation energy from the elements, the calculation gives -0.8 eV/f.u. The calculation puts the total energy at -66.8 eV/cell. The crystal system is cubic.

=====

# 2
## NdCo4Sn12 (PBE)

Data for a geometry-optimized NdCo4Sn12 structure.

Cell: 9.2246 9.2246 9.2246 Å, 90.00 90.00 90.00°
Last column: nearest neighbours and their distance in Å.
Space group Im-3 (No. 204)
One atom of each set of equivalent atoms:
Nd1 0.0000 0.0000 0.0000 (multiplicity 2)  12 Sn 3.44
Co1 0.2500 0.2500 0.2500 (multiplicity 8)  6 Sn 2.53
Sn1 0.0000 0.1707 0.3312 (multiplicity 24)  2 Co 2.53

Calculated values
For the formation energy from the elements, the calculation gives -1.8 eV/f.u. The calculation puts the total energy at -166.1 eV/cell. The crystal system is cubic.